A relaxed MnCr crystal. Source: Alexandria, functional GGA-PBE.

The structure belongs to space group P4/nmm (No. 129, origin choice 2); the cell edges are 2.8170, 2.8170 and 5.6661 Å and the angles 90.00°, 90.00° and 90.00°. The distinct sites, in fractional coordinates, are Mn at (0.2500, 0.2500, 0.1392) and Cr at (0.2500, 0.2500, 0.6328).

As for the spin magnetization: 0.3 μB/f.u. The calculation puts the formation energy at 12.0 kJ/mol of formula units.

A relaxed Ac2YH2O6 crystal. Source: Alexandria, functional GGA-PBE.

The structure belongs to space group R-3m (No. 166, hexagonal axes); the cell edges are 5.3334, 5.3334 and 17.1871 Å and the angles 90.00°, 90.00° and 120.00°. The distinct sites, in fractional coordinates, are Ac at (0.0000, 0.0000, 0.2178), Y at (0.0000, 0.0000, 0.0000), H at (0.0000, 0.0000, 0.4262) and O at (0.0179, 0.5090, 0.2432).

As for the spin magnetization: 0.0 μB/f.u. As for the total energy: -0.250 Ha/atom.